Record 1
Material: Nd5ScIn5
Method: DFT, PBE-GGA
State: optimized geometry

Lattice parameters (Å, degrees): 5.728 9.391 7.088 112.06 90.00 107.75
Positions (direct):
Nd1 0.691 0.382 0.192
Nd2 0.642 0.283 0.643
Nd3 0.000 0.000 0.500
Nd4 0.358 0.717 0.357
Nd5 0.309 0.618 0.808
Sc1 0.000 0.000 0.000
In1 0.841 0.683 0.059
In2 0.841 0.683 0.623
In3 0.500 0.000 0.000
In4 0.159 0.317 0.377
In5 0.159 0.317 0.941

Calculated values
Formation energy: -0.250 eV per atom
Spin magnetization: 0.0 μB per cell
N(E_F): 1.124 states/eV/atom


Record 2
Material: TlPOsCl2
Method: DFT, PBE-GGA
State: optimized geometry

Lattice parameters (Å, degrees): 5.128 5.128 4.483 90.00 90.00 90.00
Positions (direct):
P1 0.000 0.000 0.500
Tl1 0.500 0.500 0.500
Os1 0.000 0.000 0.000
Cl1 0.000 0.500 0.000
Cl2 0.500 0.000 0.000

Calculated values
Spin magnetization: 0.0 μB per cell
E_form (uncorrected): 0.041 eV/atom
N(E_F): 0.491 states/eV/atom


Record 3
Material: BS4Cl
Method: DFT, PBE-GGA
State: optimized geometry

Lattice parameters (Å, degrees): 8.608 8.608 8.608 135.35 135.35 64.99
Positions (direct):
B1 0.000 0.000 0.000
B2 0.750 0.250 0.500
S1 0.321 0.056 0.265
S2 0.791 0.056 0.735
S3 0.806 0.041 0.235
S4 0.429 0.194 0.235
S5 0.806 0.571 0.765
S6 0.944 0.209 0.265
S7 0.959 0.194 0.765
S8 0.944 0.679 0.735
Cl1 0.250 0.750 0.500
Cl2 0.500 0.500 0.000

Calculated values
Spin magnetization: 0.0 μB per cell
E_form (uncorrected): 0.104 eV/atom
N(E_F): 0.503 states/eV/atom


Record 4
Material: NdSc3Ru
Method: DFT, PBE-GGA
State: optimized geometry

Lattice parameters (Å, degrees): 5.074 5.074 5.074 90.00 90.00 90.00
Positions (direct):
Sc1 0.000 0.500 0.000
Sc2 0.000 0.000 0.500
Sc3 0.500 0.000 0.000
Ru1 0.000 0.000 0.000
Nd1 0.500 0.500 0.500

Calculated values
Formation energy: -0.165 eV per atom
Spin magnetization: 0.0 μB per cell
N(E_F): 1.169 states/eV/atom


Record 5
Material: Be2FeCoH
Method: DFT, PBE-GGA
State: optimized geometry

Lattice parameters (Å, degrees): 3.508 3.508 3.212 90.00 90.00 90.00
Each line ends with the local moment (μB).
Positions (direct):
Be1 0.000 0.500 0.000  -0.04
Be2 0.500 0.000 0.000  -0.04
Co1 0.500 0.500 0.500  0.94
Fe1 0.000 0.000 0.500  1.58
H1 0.000 0.000 0.000  -0.01

Calculated values
Energy: -5.285 eV/atom
Spin magnetization: 2.4 μB per cell
N(E_F): 0.789 states/eV/atom


Record 6
Material: CoCu2Br
Method: DFT, PBE-GGA
State: optimized geometry

Lattice parameters (Å, degrees): 8.593 8.593 8.593 19.39 19.39 19.39
Each line ends with the local moment (μB).
Positions (direct):
Br1 0.250 0.250 0.250  0.00
Co1 0.750 0.750 0.750  1.83
Cu1 0.010 0.010 0.010  0.04
Cu2 0.490 0.490 0.490  0.04

Calculated values
Spin magnetization: 1.9 μB per cell
E_form (uncorrected): 0.555 eV/atom
N(E_F): 0.615 states/eV/atom


Record 7
Material: CaCuCl2
Method: DFT, PBE-GGA
State: optimized geometry

Lattice parameters (Å, degrees): 6.081 6.081 4.956 82.76 82.76 39.20
Positions (direct):
Ca1 0.750 0.750 0.750
Cu1 0.250 0.250 0.250
Cl1 0.108 0.108 0.961
Cl2 0.392 0.392 0.539

Calculated values
Spin magnetization: 0.0 μB per cell
E_form (uncorrected): -1.026 eV/atom
N(E_F): 0.486 states/eV/atom


Record 8
Material: TbSc2Rh3
Method: DFT, PBE-GGA
State: optimized geometry

Lattice parameters (Å, degrees): 3.291 3.291 9.959 90.00 90.00 90.00
Positions (direct):
Tb1 0.500 0.500 0.500
Sc1 0.500 0.500 0.840
Sc2 0.500 0.500 0.160
Rh1 0.000 0.000 0.000
Rh2 0.000 0.000 0.683
Rh3 0.000 0.000 0.317

Calculated values
Formation energy: -0.938 eV per atom
Spin magnetization: 0.0 μB per cell
N(E_F): 0.480 states/eV/atom